## Fe2CoNi3O6 (GGA+U)

Data for a geometry-optimized Fe2CoNi3O6 structure.

Summary:
**Raw total energy**: -0.413 Ry per atom
**Crystal system**: monoclinic
**Volume**: 9.92 A^3/atom

abc: 13.049 3.052 6.152
angles: 90.00 103.59 90.00
Space group C2/m (No. 12)
Unique sites:
Fe  0.167  0.000  0.329 (multiplicity 4)
Co  0.000  0.500  0.000 (multiplicity 2)
Ni  0.000  0.500  0.500 (multiplicity 2)
Ni  0.166  0.000  0.834 (multiplicity 4)
O  0.001  0.000  0.256 (multiplicity 4)
O  0.166  0.500  0.070 (multiplicity 4)
O  0.166  0.500  0.594 (multiplicity 4)